# 1
Entry from Alexandria via LeMat-Bulk: an optimized crystal structure of SiSn3Ru (GGA-PBEsol).

Unit cell a=5.0019 b=5.0019 c=5.0019 alpha=90.00 beta=90.00 gamma=90.00
With the nearest neighbours (Å) after each atom.
Atoms (fractional coordinates):
Ru  0.5000  0.5000  0.5000  12 Sn 3.54
Sn  0.5000  0.0000  0.0000  2 Si 2.50
Sn  0.0000  0.5000  0.0000  2 Si 2.50
Sn  0.0000  0.0000  0.5000  2 Si 2.50
Si  0.0000  0.0000  0.0000  6 Sn 2.50

Output
space-group type	Pm-3m, No. 221
uncorrected formation energy	1.228	eV/atom
crystal system	cubic

# 2
Entry from Alexandria via LeMat-Bulk: an optimized crystal structure of CoCuGeRu2 (GGA-PBEsol).

Unit cell a=4.1204 b=4.4222 c=4.4222 alpha=90.00 beta=90.00 gamma=90.00
With the nearest neighbours (Å) after each atom.
Atoms (fractional coordinates):
Ru  0.0000  0.5000  0.0000  2 Cu 2.21
Ru  0.0000  0.0000  0.5000  2 Cu 2.21
Co  0.5000  0.0000  0.0000  2 Cu 2.06
Ge  0.5000  0.5000  0.5000  8 Ru 3.02, 4 Co 3.13
Cu  0.0000  0.0000  0.0000  2 Co 2.06, 4 Ru 2.21

Output
formation energy from the elements	1518	meV per atom
space-group type	P4/mmm, No. 123
crystal system	tetragonal

# 3
Entry from Alexandria via LeMat-Bulk: an optimized crystal structure of BaTlSCl2 (GGA-PBEsol).

Unit cell a=5.8542 b=5.8542 c=5.8888 alpha=90.00 beta=90.00 gamma=90.00
With the nearest neighbours (Å) after each atom.
Atoms (fractional coordinates):
Ba  0.0000  0.0000  0.0000  4 Cl 2.93, 2 S 2.94
Tl  0.5000  0.5000  0.5000  4 S 4.14, 8 Cl 4.15
S  0.0000  0.0000  0.5000  2 Ba 2.94
Cl  0.5000  0.0000  0.0000  2 Ba 2.93
Cl  0.0000  0.5000  0.0000  2 Ba 2.93

Output
ΔE to the lowest computed polymorph	208.9	meV per atom
space-group type	P4/mmm, No. 123
uncorrected formation energy	-1.008	eV/atom
crystal system	tetragonal

# 4
Entry from Alexandria via LeMat-Bulk: an optimized crystal structure of ScTi2CuC (GGA-PBEsol).

Unit cell a=3.9724 b=4.2251 c=4.2251 alpha=90.00 beta=90.00 gamma=90.00
With the nearest neighbours (Å) after each atom.
Atoms (fractional coordinates):
Ti  0.0000  0.0000  0.5000  2 C 2.11
Ti  0.0000  0.5000  0.0000  2 C 2.11
C  0.0000  0.0000  0.0000  2 Cu 1.99, 4 Ti 2.11
Cu  0.5000  0.0000  0.0000  2 C 1.99
Sc  0.5000  0.5000  0.5000  8 Ti 2.90, 4 Cu 2.99

Output
formation energy from the elements	-52	meV per atom
space-group type	P4/mmm, No. 123
crystal system	tetragonal

# 5
Entry from Alexandria via LeMat-Bulk: an optimized crystal structure of ScCl4 (GGA-PBEsol).

Unit cell a=5.2671 b=5.2671 c=5.2671 alpha=109.47 beta=109.47 gamma=109.47
With the nearest neighbours (Å) after each atom.
Atoms (fractional coordinates):
Cl  0.5000  0.5000  0.5000  2 Sc 2.63
Cl  0.0000  0.0000  0.5000  2 Sc 2.63
Cl  0.5000  0.0000  0.0000  2 Sc 2.63
Cl  0.0000  0.5000  0.0000  2 Sc 2.63
Sc  0.0000  0.0000  0.0000  8 Cl 2.63

Output
space-group type	Im-3m, No. 229
uncorrected formation energy	-1.234	eV/atom
crystal system	cubic

# 6
Entry from Alexandria via LeMat-Bulk: an optimized crystal structure of CoTc2Ru (GGA-PBEsol).

Unit cell a=2.6512 b=4.1882 c=4.6001 alpha=90.00 beta=90.00 gamma=90.00
With the nearest neighbours (Å) after each atom.
Atoms (fractional coordinates):
Tc  0.0000  0.5000  0.6992  4 Co 2.57, 4 Ru 2.59-2.72, 4 Tc 2.61-2.65
Tc  0.0000  0.0000  0.0369  4 Tc 2.61-2.65, 4 Co 2.61-2.70, 4 Ru 2.61
Co  0.5000  0.0000  0.5488  8 Tc 2.57-2.70, 2 Ru 2.60, 2 Co 2.65
Ru  0.5000  0.5000  0.2151  8 Tc 2.59-2.72, 2 Co 2.60, 2 Ru 2.65

Output
formation energy from the elements	-55	meV per atom
ΔE to the lowest computed polymorph	0.0	meV per atom
space-group type	Pmm2, No. 25
crystal system	orthorhombic

# 7
Entry from Alexandria via LeMat-Bulk: an optimized crystal structure of Er2Al3Cu (GGA-PBEsol).

Unit cell a=5.3145 b=5.3145 c=5.3145 alpha=61.73 beta=61.73 gamma=61.73
With the nearest neighbours (Å) after each atom.
Atoms (fractional coordinates):
Al  0.5000  0.0000  0.0000  2 Cu 2.66, 4 Al 2.73
Al  0.0000  0.0000  0.5000  2 Cu 2.66, 4 Al 2.73
Al  0.0000  0.5000  0.0000  2 Cu 2.66, 4 Al 2.73
Er  0.3762  0.3762  0.3762  9 Al 3.12-3.16, 4 Er 3.18-3.34, 3 Cu 3.20
Er  0.6238  0.6238  0.6238  9 Al 3.12-3.16, 4 Er 3.18-3.34, 3 Cu 3.20
Cu  0.0000  0.0000  0.0000  6 Al 2.66

Output
formation energy from the elements	-471	meV per atom
space-group type	R-3m, No. 166
crystal system	trigonal

# 8
Entry from Alexandria via LeMat-Bulk: an optimized crystal structure of HfNb2SnPd (GGA-PBEsol).

Unit cell a=4.7767 b=4.8823 c=4.8823 alpha=90.00 beta=90.00 gamma=90.00
With the nearest neighbours (Å) after each atom.
Atoms (fractional coordinates):
Pd  0.5000  0.0000  0.0000  2 Hf 2.39
Nb  0.0000  0.5000  0.0000  2 Hf 2.44
Nb  0.0000  0.0000  0.5000  2 Hf 2.44
Hf  0.0000  0.0000  0.0000  2 Pd 2.39, 4 Nb 2.44
Sn  0.5000  0.5000  0.5000  8 Nb 3.42, 4 Pd 3.45

Output
formation energy from the elements	1203	meV per atom
space-group type	P4/mmm, No. 123
crystal system	tetragonal

# 9
Entry from Alexandria via LeMat-Bulk: an optimized crystal structure of Nb4GaSe8 (GGA-PBEsol).

Unit cell a=7.3419 b=7.3419 c=7.3419 alpha=60.00 beta=60.00 gamma=60.00
With the nearest neighbours (Å) after each atom.
Atoms (fractional coordinates):
Nb  0.6031  0.1906  0.6031  6 Se 2.53-2.76
Nb  0.1906  0.6031  0.6031  6 Se 2.53-2.76
Nb  0.6031  0.6031  0.1906  6 Se 2.53-2.76
Nb  0.6031  0.6031  0.6031  6 Se 2.53-2.76
Se  0.3638  0.9087  0.3638  3 Nb 2.53
Se  0.3638  0.3638  0.3638  3 Nb 2.53
Se  0.3638  0.3638  0.9087  3 Nb 2.53
Se  0.8649  0.4053  0.8649  1 Ga 2.43
Se  0.4053  0.8649  0.8649  1 Ga 2.43
Se  0.8649  0.8649  0.8649  1 Ga 2.43
Se  0.9087  0.3638  0.3638  3 Nb 2.53
Se  0.8649  0.8649  0.4053  1 Ga 2.43
Ga  0.0000  0.0000  0.0000  4 Se 2.43

Output
space-group type	F-43m, No. 216
uncorrected formation energy	-0.829	eV/atom
crystal system	cubic

# 10
Entry from Alexandria via LeMat-Bulk: an optimized crystal structure of Mg3TlMo (GGA-PBEsol).

Unit cell a=5.2365 b=5.2365 c=5.2365 alpha=90.00 beta=90.00 gamma=90.00
With the nearest neighbours (Å) after each atom.
Atoms (fractional coordinates):
Tl  0.5000  0.5000  0.5000  12 Mg 3.70
Mg  0.5000  0.0000  0.0000  2 Mo 2.62
Mg  0.0000  0.0000  0.5000  2 Mo 2.62
Mg  0.0000  0.5000  0.0000  2 Mo 2.62
Mo  0.0000  0.0000  0.0000  6 Mg 2.62

Output
formation energy from the elements	1035	meV per atom
space-group type	Pm-3m, No. 221
crystal system	cubic

# 11
Entry from Alexandria via LeMat-Bulk: an optimized crystal structure of KTl2Bi2 (GGA-PBEsol).

Unit cell a=5.1656 b=5.1656 c=7.7012 alpha=109.60 beta=109.60 gamma=90.00
With the nearest neighbours (Å) after each atom.
Atoms (fractional coordinates):
Bi  0.6164  0.6164  0.2328  4 Tl 3.15, 1 Bi 3.16
Bi  0.3836  0.3836  0.7672  4 Tl 3.15, 1 Bi 3.16
Tl  0.7500  0.2500  0.5000  4 Bi 3.15
Tl  0.2500  0.7500  0.5000  4 Bi 3.15
K  0.0000  0.0000  0.0000  8 Bi 3.98, 8 Tl 4.26

Output
formation energy from the elements	-140	meV per atom
space-group type	I4/mmm, No. 139
crystal system	tetragonal

# 12
Entry from Alexandria via LeMat-Bulk: an optimized crystal structure of Cu (GGA-PBEsol).

Unit cell a=2.4490 b=2.4490 c=2.4490 alpha=109.47 beta=109.47 gamma=109.47
With the nearest neighbours (Å) after each atom.
Atoms (fractional coordinates):
Cu  0.5000  0.5000  0.5000  8 Cu 2.45

Output
formation energy from the elements	43	meV per atom
ΔE to the lowest computed polymorph	43.4	meV per atom
space-group type	Im-3m, No. 229
crystal system	cubic

Uncorrected energy / eV/cell: -22.55; -29.76; -18.22; -37.49; -20.81; -40.66; -29.29; -36.35; -88.20; -14.37; -15.67; -4.29